Entry from Alexandria via LeMat-Bulk: an optimized crystal structure of Ac2TlRhPb (GGA-PBE).

Cell: 8.9693 4.2976 9.1733 Å, 90.00 116.10 90.00°
Closest atoms and distances in Å follow each position.
Space group P2_1/m (No. 11)
Inequivalent atoms, fractional coordinates:
Ac  0.1183  0.2500  0.3376  2 Rh 3.03
Ac  0.2794  0.2500  0.9970  3 Rh 2.99-3.27
Tl  0.4553  0.7500  0.3510  1 Rh 2.86
Rh  0.1186  0.7500  0.1056  1 Tl 2.86, 4 Ac 2.99-3.03, 2 Rh 3.04
Pb  0.2860  0.7500  0.6937  2 Tl 3.32, 6 Ac 3.51-3.68

Summary:
N(E_F): 3.51 states/eV/f.u.
Energy relative to the elements: -0.50 eV/atom
Calculated volume: 31.75 Å³ per atom
M_tot: 0.00 μB/f.u.


Entry from Alexandria via LeMat-Bulk: an optimized crystal structure of Tb2Y3Ho7 (GGA-PBE).

Cell: 6.3031 3.5088 17.3475 Å, 90.00 96.15 90.00°
Closest atoms and distances in Å follow each position.
Space group P2/m (No. 10)
Inequivalent atoms, fractional coordinates:
Tb  0.0596  0.0000  0.1730  5 Ho 3.39-3.46, 2 Tb 3.51, 4 Y 3.59-3.65
Y  0.4501  0.5000  0.8423  2 Y 3.51, 7 Ho 3.56-3.68, 4 Tb 3.59-3.65
Y  0.5000  0.0000  0.5000  2 Y 3.51, 10 Ho 3.54-3.61
Ho  0.0000  0.5000  0.5000  8 Ho 3.51-3.55, 4 Y 3.61
Ho  0.2238  0.0000  0.6671  1 Tb 3.46, 8 Ho 3.51-3.63, 3 Y 3.54-3.66
Ho  0.2551  0.0000  0.9986  2 Ho 3.08-3.22, 2 Tb 3.39-3.40
Ho  0.2732  0.5000  0.3342  2 Tb 3.45, 7 Ho 3.51-3.63, 3 Y 3.54-3.68

Summary:
N(E_F): 17.75 states/eV/f.u.
Energy relative to the elements: 0.08 eV/atom
Calculated volume: 31.79 Å³ per atom
M_tot: 0.00 μB/f.u.
E above lowest polymorph: 0.00 eV/f.u.


Entry from Alexandria via LeMat-Bulk: an optimized crystal structure of DyHoEr5 (GGA-PBE).

Cell: 11.5333 6.6656 12.0543 Å, 90.00 110.18 90.00°
Closest atoms and distances in Å follow each position.
Space group C2/c (No. 15)
Inequivalent atoms, fractional coordinates:
Dy  0.0000  0.0278  0.2500  3 Er 2.96-3.26
Ho  0.2500  0.2500  0.0000  4 Er 3.20-3.55
Er  0.0000  0.4157  0.7500  2 Er 2.95, 1 Dy 2.96
Er  0.0786  0.2682  0.5008  4 Er 3.25-3.58, 1 Dy 3.26
Er  0.2198  0.3613  0.2466  2 Er 2.95-3.25, 1 Ho 3.20

Summary:
N(E_F): 8.37 states/eV/f.u.
Energy relative to the elements: 0.20 eV/atom
Calculated volume: 31.06 Å³ per atom
M_tot: 0.00 μB/f.u.
E above lowest polymorph: 0.00 eV/f.u.


Q: Number 2 is which compound?
A: Tb2Y3Ho7


Q: What is the energy relative to the elements in the second record?
A: 0.08 eV/atom